VASP calculation (GGA+U) on an optimized crystal structure of MnCu3Se4O12.

Properties
- calculated total energy (eV per atom) = -5.43
- Fermi-level density of states (states/eV per cell) = 2.38
- size of the total moment (μB per formula unit) = 8.038

The structure in CIF format:
```
data_MnCu3Se4O12
_chemical_formula_sum 'Mn1 Cu3 Se4 O12'
_cell_length_a 5.416
_cell_length_b 6.166
_cell_length_c 7.503
_cell_angle_alpha 89.92
_cell_angle_beta 88.50
_cell_angle_gamma 87.80
_space_group_name_H-M_alt 'P -1'
_space_group_IT_number 2
_space_group_name_Hall '-P 1'
loop_
_atom_site_label
_atom_site_fract_x
_atom_site_fract_y
_atom_site_fract_z
Mn1 0.000 0.000 0.000
Cu1 0.000 0.000 0.500
Cu2 0.500 0.500 0.000
Cu3 0.500 0.500 0.500
Se1 0.009 0.541 0.255
Se2 0.498 0.954 0.741
O1 0.084 0.291 0.568
O2 0.099 0.305 0.920
O3 0.177 0.076 0.259
O4 0.338 0.571 0.245
O5 0.397 0.802 0.925
O6 0.406 0.794 0.566
```